Record 1
VASP calculation (PBE-GGA) on an optimized crystal structure of ReSb4Au. Values from VASP.

```
&SYSTEM
  ibrav = 0, nat = 6, ntyp = 3
/
ATOMIC_SPECIES
Sb 121.76 Sb.upf
Re 186.21 Re.upf
Au 196.97 Au.upf
CELL_PARAMETERS angstrom
0.000 4.284 4.284
4.284 0.000 4.284
4.284 4.284 0.000
ATOMIC_POSITIONS angstrom
Sb 3.219 3.219 3.219
Sb 5.350 3.219 5.350
Re 0.000 0.000 0.000
Sb 5.350 5.350 3.219
Au 6.426 6.426 6.426
Sb 3.219 5.350 5.350
```

total magnetic moment: 0.620 μB/atom
formation energy (no corrections): 1231.1 meV/atom
Fermi-level density of states: 0.828 states/eV/atom

---

Record 2
VASP calculation (PBE-GGA) on an optimized crystal structure of Re4SbAu. Values from VASP.

```
&SYSTEM
  ibrav = 0, nat = 6, ntyp = 3
/
ATOMIC_SPECIES
Re 186.21 Re.upf
Au 196.97 Au.upf
Sb 121.76 Sb.upf
CELL_PARAMETERS angstrom
0.000 3.748 3.748
3.748 0.000 3.748
3.748 3.748 0.000
ATOMIC_POSITIONS angstrom
Re 4.697 2.798 4.697
Re 2.798 4.697 4.697
Au 0.000 0.000 0.000
Sb 5.621 5.621 5.621
Re 4.697 4.697 2.798
Re 2.798 2.798 2.798
```

total magnetic moment: 0.000 μB/atom
formation energy (no corrections): 795.6 meV/atom
Fermi-level density of states: 1.141 states/eV/atom

---

Record 3
VASP calculation (PBE-GGA) on an optimized crystal structure of ReSb2Au. Values from VASP.

```
&SYSTEM
  ibrav = 0, nat = 4, ntyp = 3
/
ATOMIC_SPECIES
Au 196.97 Au.upf
Sb 121.76 Sb.upf
Re 186.21 Re.upf
CELL_PARAMETERS angstrom
7.121 0.023 -0.014
5.183 4.883 0.014
-5.901 -3.082 2.527
ATOMIC_POSITIONS angstrom
Au 5.375 2.143 0.000
Sb 0.710 0.283 0.000
Sb 4.085 -0.144 1.257
Re 2.384 1.995 1.271
```

total magnetic moment: 0.000 μB/atom
formation energy (no corrections): 421.5 meV/atom
Fermi-level density of states: 0.626 states/eV/atom

---

Record 4
VASP calculation (PBE-GGA) on an optimized crystal structure of ReSb2Au. Values from VASP.

```
&SYSTEM
  ibrav = 0, nat = 4, ntyp = 3
/
ATOMIC_SPECIES
Re 186.21 Re.upf
Au 196.97 Au.upf
Sb 121.76 Sb.upf
CELL_PARAMETERS angstrom
3.280 0.000 0.000
0.000 3.205 0.216
0.000 5.596 8.581
ATOMIC_POSITIONS angstrom
Re 1.640 6.601 6.598
Au 1.640 2.200 2.199
Sb 0.000 8.089 8.363
Sb 0.000 5.113 4.832
```

total magnetic moment: 0.000 μB/atom
formation energy (no corrections): 319.7 meV/atom
Fermi-level density of states: 0.443 states/eV/atom

---

Record 5
VASP calculation (PBE-GGA) on an optimized crystal structure of ReSb2Au. Values from VASP.

```
&SYSTEM
  ibrav = 0, nat = 4, ntyp = 3
/
ATOMIC_SPECIES
Sb 121.76 Sb.upf
Re 186.21 Re.upf
Au 196.97 Au.upf
CELL_PARAMETERS angstrom
-0.171 4.245 -1.650
0.985 -1.153 -3.068
-4.472 -1.294 -2.865
ATOMIC_POSITIONS angstrom
Sb -3.145 -2.313 -5.623
Sb -1.380 1.367 -2.635
Re -3.095 0.473 -4.755
Au -1.269 -1.400 -3.469
```

total magnetic moment: 0.000 μB/atom
formation energy (no corrections): 391.7 meV/atom
Fermi-level density of states: 0.502 states/eV/atom

---

Record 6
VASP calculation (PBE-GGA) on an optimized crystal structure of ReSb3Au. Values from VASP.

```
&SYSTEM
  ibrav = 0, nat = 5, ntyp = 3
/
ATOMIC_SPECIES
Sb 121.76 Sb.upf
Re 186.21 Re.upf
Au 196.97 Au.upf
CELL_PARAMETERS angstrom
5.302 0.000 0.000
0.000 5.302 0.000
0.000 0.000 5.302
ATOMIC_POSITIONS angstrom
Sb 2.651 0.000 0.000
Sb 0.000 0.000 2.651
Re 2.651 2.651 2.651
Sb 0.000 2.651 0.000
Au 0.000 0.000 0.000
```

total magnetic moment: 0.634 μB/atom
formation energy (no corrections): 1567.0 meV/atom
Fermi-level density of states: 0.716 states/eV/atom

---

Record 7
VASP calculation (PBE-GGA) on an optimized crystal structure of ReSbAu. Values from VASP.

```
&SYSTEM
  ibrav = 0, nat = 3, ntyp = 3
/
ATOMIC_SPECIES
Au 196.97 Au.upf
Re 186.21 Re.upf
Sb 121.76 Sb.upf
CELL_PARAMETERS angstrom
4.766 0.000 0.000
-2.383 4.127 0.000
0.000 0.000 2.851
ATOMIC_POSITIONS angstrom
Au 0.000 0.000 2.850
Re 2.383 1.376 1.426
Sb 0.000 2.751 1.426
```

total magnetic moment: 0.000 μB/atom
formation energy (no corrections): 711.2 meV/atom
Fermi-level density of states: 0.395 states/eV/atom

---

Record 8
VASP calculation (PBE-GGA) on an optimized crystal structure of ReSbAu. Values from VASP.

```
&SYSTEM
  ibrav = 0, nat = 3, ntyp = 3
/
ATOMIC_SPECIES
Au 196.97 Au.upf
Re 186.21 Re.upf
Sb 121.76 Sb.upf
CELL_PARAMETERS angstrom
8.323 -0.029 0.020
7.589 2.804 -0.030
0.734 -1.111 2.607
ATOMIC_POSITIONS angstrom
Au 15.620 2.700 0.040
Re 5.759 0.176 1.740
Sb 11.179 1.563 0.806
```

total magnetic moment: 0.000 μB/atom
formation energy (no corrections): 762.7 meV/atom
Fermi-level density of states: 1.001 states/eV/atom

---

Record 9
VASP calculation (PBE-GGA) on an optimized crystal structure of ReSbAu3. Values from VASP.

```
&SYSTEM
  ibrav = 0, nat = 5, ntyp = 3
/
ATOMIC_SPECIES
Au 196.97 Au.upf
Re 186.21 Re.upf
Sb 121.76 Sb.upf
CELL_PARAMETERS angstrom
-1.098 -4.185 -2.552
1.594 -2.778 3.870
-4.636 0.036 1.935
ATOMIC_POSITIONS angstrom
Au -2.318 0.018 0.967
Au 0.797 -1.389 1.935
Au -0.549 -2.093 -1.276
Re 0.000 0.000 0.000
Sb -2.070 -3.464 1.626
```

total magnetic moment: 0.000 μB/atom
formation energy (no corrections): 1220.4 meV/atom
Fermi-level density of states: 1.039 states/eV/atom

---

Record 10
VASP calculation (PBE-GGA) on an optimized crystal structure of ReSb2Au. Values from VASP.

```
&SYSTEM
  ibrav = 0, nat = 4, ntyp = 3
/
ATOMIC_SPECIES
Sb 121.76 Sb.upf
Au 196.97 Au.upf
Re 186.21 Re.upf
CELL_PARAMETERS angstrom
-2.486 2.178 0.021
-1.467 -1.699 2.426
3.684 4.155 5.138
ATOMIC_POSITIONS angstrom
Sb 1.964 2.215 2.739
Sb 3.562 4.018 4.968
Au -1.056 1.278 2.508
Re 0.786 3.356 5.077
```

total magnetic moment: 0.000 μB/atom
formation energy (no corrections): 383.1 meV/atom
Fermi-level density of states: 0.529 states/eV/atom

---

Record 11
VASP calculation (PBE-GGA) on an optimized crystal structure of ReSb2Au. Values from VASP.

```
&SYSTEM
  ibrav = 0, nat = 4, ntyp = 3
/
ATOMIC_SPECIES
Sb 121.76 Sb.upf
Au 196.97 Au.upf
Re 186.21 Re.upf
CELL_PARAMETERS angstrom
-2.423 0.752 1.916
-2.026 -1.388 -2.018
0.952 -7.314 4.074
ATOMIC_POSITIONS angstrom
Sb 0.893 -6.858 3.821
Au 0.504 -3.871 2.157
Sb -1.953 -2.410 1.114
Re -1.514 -5.782 2.992
```

total magnetic moment: 0.000 μB/atom
formation energy (no corrections): 457.1 meV/atom
Fermi-level density of states: 0.651 states/eV/atom

---

Record 12
VASP calculation (PBE-GGA) on an optimized crystal structure of ReSbAu. Values from VASP.

```
&SYSTEM
  ibrav = 0, nat = 3, ntyp = 3
/
ATOMIC_SPECIES
Sb 121.76 Sb.upf
Re 186.21 Re.upf
Au 196.97 Au.upf
CELL_PARAMETERS angstrom
5.515 -0.199 0.000
3.639 4.149 0.000
-4.577 -1.975 2.368
ATOMIC_POSITIONS angstrom
Sb 6.240 2.693 0.000
Re 2.950 1.273 0.000
Au 9.119 3.935 0.000
```

total magnetic moment: 0.265 μB/atom
formation energy (no corrections): 649.5 meV/atom
Fermi-level density of states: 0.936 states/eV/atom

---

Record 13
VASP calculation (PBE-GGA) on an optimized crystal structure of ReSb2Au. Values from VASP.

```
&SYSTEM
  ibrav = 0, nat = 4, ntyp = 3
/
ATOMIC_SPECIES
Au 196.97 Au.upf
Re 186.21 Re.upf
Sb 121.76 Sb.upf
CELL_PARAMETERS angstrom
5.024 -0.029 -0.012
0.930 4.937 0.012
-2.972 -2.461 3.218
ATOMIC_POSITIONS angstrom
Au 2.515 -0.018 1.603
Re 0.468 2.465 1.615
Sb 2.977 2.454 0.000
Sb 0.000 0.000 0.000
```

total magnetic moment: 0.231 μB/atom
formation energy (no corrections): 628.8 meV/atom
Fermi-level density of states: 0.923 states/eV/atom

---

Record 14
VASP calculation (PBE-GGA) on an optimized crystal structure of ReSb3Au. Values from VASP.

```
&SYSTEM
  ibrav = 0, nat = 5, ntyp = 3
/
ATOMIC_SPECIES
Sb 121.76 Sb.upf
Au 196.97 Au.upf
Re 186.21 Re.upf
CELL_PARAMETERS angstrom
-3.197 -3.555 -1.950
2.570 -3.698 2.527
-3.136 0.594 4.059
ATOMIC_POSITIONS angstrom
Sb -1.598 -1.778 -0.975
Sb -1.568 0.297 2.029
Sb 1.285 -1.849 1.263
Au -1.881 -3.330 2.318
Re 0.000 0.000 0.000
```

total magnetic moment: 0.000 μB/atom
formation energy (no corrections): 709.3 meV/atom
Fermi-level density of states: 1.364 states/eV/atom

---

Record 15
VASP calculation (PBE-GGA) on an optimized crystal structure of ReSb2Au. Values from VASP.

```
&SYSTEM
  ibrav = 0, nat = 4, ntyp = 3
/
ATOMIC_SPECIES
Re 186.21 Re.upf
Sb 121.76 Sb.upf
Au 196.97 Au.upf
CELL_PARAMETERS angstrom
3.458 0.000 0.000
0.000 5.268 0.000
0.000 0.000 4.505
ATOMIC_POSITIONS angstrom
Re 0.000 2.634 2.252
Sb 1.729 2.634 0.000
Sb 0.000 0.000 0.000
Au 1.729 0.000 2.252
```

total magnetic moment: 0.001 μB/atom
formation energy (no corrections): 811.8 meV/atom
Fermi-level density of states: 0.867 states/eV/atom

---

Record 16
VASP calculation (PBE-GGA) on an optimized crystal structure of ReSb2Au. Values from VASP.

```
&SYSTEM
  ibrav = 0, nat = 4, ntyp = 3
/
ATOMIC_SPECIES
Sb 121.76 Sb.upf
Au 196.97 Au.upf
Re 186.21 Re.upf
CELL_PARAMETERS angstrom
3.088 -0.067 0.000
-1.430 2.738 0.000
0.000 0.000 10.477
ATOMIC_POSITIONS angstrom
Sb 0.000 0.000 9.955
Au 0.000 0.000 5.464
Re 0.829 1.335 7.740
Sb 0.829 1.335 3.032
```

total magnetic moment: 0.006 μB/atom
formation energy (no corrections): 599.6 meV/atom
Fermi-level density of states: 0.765 states/eV/atom

---

Record 17
VASP calculation (PBE-GGA) on an optimized crystal structure of ReSbAu. Values from VASP.

```
&SYSTEM
  ibrav = 0, nat = 3, ntyp = 3
/
ATOMIC_SPECIES
Re 186.21 Re.upf
Au 196.97 Au.upf
Sb 121.76 Sb.upf
CELL_PARAMETERS angstrom
3.163 0.000 0.000
-1.582 2.739 0.000
0.000 0.000 6.599
ATOMIC_POSITIONS angstrom
Re 1.582 0.913 2.249
Au 0.000 0.000 0.094
Sb 0.000 1.826 4.256
```

total magnetic moment: 0.000 μB/atom
formation energy (no corrections): 628.5 meV/atom
Fermi-level density of states: 1.312 states/eV/atom

---

Record 18
VASP calculation (PBE-GGA) on an optimized crystal structure of ReSb2Au. Values from VASP.

```
&SYSTEM
  ibrav = 0, nat = 4, ntyp = 3
/
ATOMIC_SPECIES
Au 196.97 Au.upf
Sb 121.76 Sb.upf
Re 186.21 Re.upf
CELL_PARAMETERS angstrom
5.577 0.010 0.000
2.521 4.974 0.000
-4.049 -2.492 2.914
ATOMIC_POSITIONS angstrom
Au 4.049 2.492 0.000
Sb 1.261 2.487 1.457
Re 2.788 0.005 1.457
Sb 0.000 0.000 0.000
```

total magnetic moment: 0.117 μB/atom
formation energy (no corrections): 748.8 meV/atom
Fermi-level density of states: 1.165 states/eV/atom

---

Record 19
VASP calculation (PBE-GGA) on an optimized crystal structure of ReSb2Au. Values from VASP.

```
&SYSTEM
  ibrav = 0, nat = 4, ntyp = 3
/
ATOMIC_SPECIES
Sb 121.76 Sb.upf
Au 196.97 Au.upf
Re 186.21 Re.upf
CELL_PARAMETERS angstrom
-4.585 1.654 -0.175
-3.031 -1.579 -3.480
-3.705 -2.956 1.150
ATOMIC_POSITIONS angstrom
Sb 0.000 0.000 0.000
Au -5.661 -1.440 -1.252
Sb -8.491 -2.161 -1.878
Re -2.830 -0.720 -0.626
```

total magnetic moment: 0.000 μB/atom
formation energy (no corrections): 899.3 meV/atom
Fermi-level density of states: 0.966 states/eV/atom

---

Record 20
VASP calculation (PBE-GGA) on an optimized crystal structure of ReSb2Au. Values from VASP.

```
&SYSTEM
  ibrav = 0, nat = 4, ntyp = 3
/
ATOMIC_SPECIES
Sb 121.76 Sb.upf
Au 196.97 Au.upf
Re 186.21 Re.upf
CELL_PARAMETERS angstrom
8.501 -0.014 -0.008
7.824 3.325 -0.008
7.824 1.587 2.922
ATOMIC_POSITIONS angstrom
Sb 0.162 0.033 0.019
Sb 11.913 2.416 1.433
Au 6.037 1.225 0.726
Re 18.112 3.674 2.179
```

total magnetic moment: 0.000 μB/atom
formation energy (no corrections): 313.1 meV/atom
Fermi-level density of states: 0.434 states/eV/atom